Here is a geometry-optimized CrN2F structure from Alexandria. Energies are from PBE with a Hubbard U.

Geometry as POSCAR:
```
CrN2F
1.0
-0.2121 2.1796 -4.4051
-1.4452 -4.2419 -2.0292
-4.8692 0.0067 -2.5091
N Cr F
4 2 2
Direct
0.8750 0.9961 0.7500 N
0.0039 0.6250 0.2500 N
0.3750 0.2539 0.7500 N
0.7461 0.1250 0.2500 N
0.0000 0.0000 0.0000 Cr
0.7500 0.2500 0.5000 Cr
0.2500 0.7500 0.5000 F
0.5000 0.5000 0.0000 F
```

Excess energy over the best structure of this formula in the dataset, eV per atom: 0.0000
N(E_F), states/eV/f.u.: 4.57
Magnetic moment, μB/cell: 0.00
SG: No. 122